1:
TcNiAs | PBE-GGA | optimized geometry

- size of the total moment (μB per cell) = 0.06
- symmetry = P3m1

a b c (Å): 4.035 4.035 2.898
angles (deg): 90.00 90.00 120.00
Element x y z (fractional)
As1 0.000 0.000 0.062
Ni1 0.667 0.333 0.216
Tc1 0.333 0.667 0.721

=====

2:
TcNiAs | PBE-GGA | optimized geometry

- size of the total moment (μB per cell) = 0.00
- symmetry = F-43m

a b c (Å): 3.995 3.995 3.995
angles (deg): 60.00 60.00 60.00
Element x y z (fractional)
As1 0.750 0.750 0.750
Tc1 0.500 0.500 0.500
Ni1 0.000 0.000 0.000

=====

Stability, lowest: 1

=====

1:
TcNiAs | PBE-GGA | optimized geometry

- size of the total moment (μB per cell) = 0.00
- symmetry = I4mm

a b c (Å): 4.865 4.865 4.865
angles (deg): 143.41 143.41 52.71
Element x y z (fractional)
Ni1 0.343 0.343 0.000
Tc1 0.661 0.661 0.000
As1 0.996 0.996 0.000

=====

2:
TcNiAs | PBE-GGA | optimized geometry

- size of the total moment (μB per cell) = 0.00
- symmetry = P4/nmm

a b c (Å): 4.099 4.099 5.293
angles (deg): 90.00 90.00 90.00
Element x y z (fractional)
Ni1 0.500 0.000 0.267
As1 0.000 0.000 0.000
As2 0.500 0.500 0.000
Ni2 0.000 0.500 0.733
Tc1 0.500 0.000 0.723
Tc2 0.000 0.500 0.277

=====

Stability, lowest: 2

=====

1:
TcNiAs2 | PBE-GGA | optimized geometry

- size of the total moment (μB per cell) = 1.65
- symmetry = Fm-3m

a b c (Å): 4.354 4.354 4.354
angles (deg): 60.00 60.00 60.00
Site moments in Bohr magnetons follow the coordinates.
Element x y z (fractional)
As1 0.250 0.250 0.250  0.04
Ni1 0.000 0.000 0.000  0.64
As2 0.750 0.750 0.750  0.04
Tc1 0.500 0.500 0.500  0.84

=====

2:
TcNiAs2 | PBE-GGA | optimized geometry

- size of the total moment (μB per cell) = 0.00
- symmetry = F-43m

a b c (Å): 4.389 4.389 4.389
angles (deg): 60.00 60.00 60.00
Element x y z (fractional)
As1 0.250 0.250 0.250
Ni1 0.500 0.500 0.500
Tc1 0.750 0.750 0.750
As2 0.000 0.000 0.000

=====

Stability, lowest: 2

=====

1:
TcNiAs2 | PBE-GGA | optimized geometry

- size of the total moment (μB per cell) = 0.59
- symmetry = I-4m2

a b c (Å): 5.155 5.155 5.155
angles (deg): 138.74 138.74 59.77
Site moments in Bohr magnetons follow the coordinates.
Element x y z (fractional)
As1 0.250 0.750 0.500  0.00
Tc1 0.750 0.250 0.500  0.55
Ni1 0.500 0.500 0.000  0.02
As2 0.000 0.000 0.000  -0.01

=====

2:
TcNiAs2 | PBE-GGA | optimized geometry

- size of the total moment (μB per cell) = 0.00
- symmetry = C2/m

a b c (Å): 4.248 4.248 4.912
angles (deg): 82.17 82.17 42.55
Element x y z (fractional)
As1 0.985 0.985 0.010
Ni1 0.750 0.750 0.750
Tc1 0.250 0.250 0.250
As2 0.515 0.515 0.490

=====

Stability, lowest: 1

=====

1:
TcNiAs2 | PBE-GGA | optimized geometry

- size of the total moment (μB per cell) = 0.00
- symmetry = Cmmm

a b c (Å): 2.941 2.941 7.691
angles (deg): 90.00 90.00 113.88
Element x y z (fractional)
Tc1 0.500 0.500 0.750
Ni1 0.500 0.500 0.250
As1 0.000 0.000 0.007
As2 0.000 0.000 0.493

=====

2:
TcNiAs2 | PBE-GGA | optimized geometry

- size of the total moment (μB per cell) = 0.00
- symmetry = Cm

a b c (Å): 4.630 4.630 4.370
angles (deg): 77.30 77.30 40.39
Element x y z (fractional)
Ni1 0.486 0.486 0.573
Tc1 0.267 0.267 0.192
As1 0.995 0.995 0.078
As2 0.752 0.752 0.658

=====

Stability, lowest: 1

=====

1:
TcNiAs2 | PBE-GGA | optimized geometry

- size of the total moment (μB per cell) = 0.00
- symmetry = P2/m

a b c (Å): 3.120 3.120 6.643
angles (deg): 61.89 90.00 90.00
Element x y z (fractional)
As1 0.000 0.504 0.497
As2 0.000 0.996 0.003
Ni1 0.500 0.250 0.250
Tc1 0.500 0.750 0.750

=====

2:
TcNiAs2 | PBE-GGA | optimized geometry

- size of the total moment (μB per cell) = 0.00
- symmetry = P4mm

a b c (Å): 3.329 3.329 5.338
angles (deg): 90.00 90.00 90.00
Element x y z (fractional)
As1 0.000 0.000 0.962
Ni1 0.000 0.000 0.440
As2 0.500 0.500 0.321
Tc1 0.500 0.500 0.778

=====

Stability, lowest: 1